1.
Compound: PrSmAsO
Source: OQMD
Functional: PBE
Structure: relaxed

Output
E above lowest polymorph	32	meV per atom
theoretical density	6.16	g cm⁻³

Structure (CIF):
```
data_PrSmAsO
_chemical_formula_sum 'Pr2 Sm2 As2 O2'
_cell_length_a 4.263
_cell_length_b 8.056
_cell_length_c 6.001
_cell_angle_alpha 90.00
_cell_angle_beta 90.00
_cell_angle_gamma 90.00
_space_group_name_H-M_alt 'P m c 21'
_space_group_IT_number 26
loop_
_space_group_symop_operation_xyz
'x,y,z'
'-x,-y,z+1/2'
'-x,y,z'
'x,-y,z+1/2'
loop_
_atom_site_label
_atom_site_fract_x
_atom_site_fract_y
_atom_site_fract_z
_atom_site_occupancy
Pr1 0.000 0.111 0.000 1
Sm1 0.500 0.302 0.434 1
As1 0.500 0.341 0.927 1
O1 0.000 0.183 0.382 1
```



2.
Compound: LiNbBi
Source: OQMD
Functional: PBE
Structure: relaxed

Output
E above lowest polymorph	0	meV per atom
theoretical density	7.97	g cm⁻³

Structure (CIF):
```
data_LiNbBi
_chemical_formula_sum 'Li4 Nb4 Bi4'
_cell_length_a 6.360
_cell_length_b 6.360
_cell_length_c 6.360
_cell_angle_alpha 90.00
_cell_angle_beta 90.00
_cell_angle_gamma 90.00
_space_group_name_H-M_alt 'F -4 3 m'
_space_group_IT_number 216
_space_group_name_Hall 'F -4 2 3'
loop_
_atom_site_label
_atom_site_fract_x
_atom_site_fract_y
_atom_site_fract_z
_atom_site_occupancy
Li1 0.000 0.000 0.000 1
Nb1 0.250 0.250 0.250 1
Bi1 0.250 0.250 0.750 1
```



3.
Compound: Sm2YAl7Ag2
Source: OQMD
Functional: PBE
Structure: relaxed

Output
theoretical density	5.51	g cm⁻³
E_tot	-4.44	eV per atom

Structure (CIF):
```
data_Sm2YAl7Ag2
_chemical_formula_sum 'Sm6 Y3 Al21 Ag6'
_cell_length_a 5.5978
_cell_length_b 5.5978
_cell_length_c 26.4841
_cell_angle_alpha 90.00
_cell_angle_beta 90.00
_cell_angle_gamma 120.00
_space_group_name_H-M_alt 'R -3 m'
_space_group_IT_number 166
_space_group_name_Hall '-R 3 2"'
loop_
_atom_site_label
_atom_site_fract_x
_atom_site_fract_y
_atom_site_fract_z
_atom_site_occupancy
Sm1 0.0000 0.0000 0.1418 1
Y1 0.0000 0.0000 0.0000 1
Al1 0.0000 0.0000 0.5000 1
Al2 0.0081 0.5040 0.9169 1
Ag1 0.0000 0.0000 0.3359 1
```



4.
Compound: Li2Cd2In2AgPt
Source: OQMD
Functional: PBE
Structure: relaxed

Output
theoretical density	8.78	g cm⁻³
E_tot	-2.84	eV per atom

Structure (CIF):
```
data_Li2Cd2In2AgPt
_chemical_formula_sum 'Li2 Cd2 In2 Ag1 Pt1'
_cell_length_a 4.688
_cell_length_b 4.688
_cell_length_c 6.636
_cell_angle_alpha 90.00
_cell_angle_beta 90.00
_cell_angle_gamma 90.00
_space_group_name_H-M_alt 'P -4 m 2'
_space_group_IT_number 115
loop_
_space_group_symop_operation_xyz
'x,y,z'
'y,-x,-z'
'-x,-y,z'
'-y,x,-z'
'-x,y,z'
'-y,-x,-z'
'x,-y,z'
'y,x,-z'
loop_
_atom_site_label
_atom_site_fract_x
_atom_site_fract_y
_atom_site_fract_z
_atom_site_occupancy
Li1 0.000 0.000 0.000 1
Li2 0.500 0.500 0.500 1
Cd1 0.000 0.500 0.745 1
In1 0.000 0.500 0.260 1
Ag1 0.500 0.500 0.000 1
Pt1 0.000 0.000 0.500 1
```



5.
Compound: Y3NiB2
Source: OQMD
Functional: PBE
Structure: relaxed

Output
theoretical density	4.84	g cm⁻³
E_tot	-6.26	eV per atom

Structure (CIF):
```
data_Y3NiB2
_chemical_formula_sum 'Y6 Ni2 B4'
_cell_length_a 3.6241
_cell_length_b 3.6241
_cell_length_c 20.9542
_cell_angle_alpha 90.00
_cell_angle_beta 90.00
_cell_angle_gamma 120.00
_space_group_name_H-M_alt 'P 63/m m c'
_space_group_IT_number 194
_space_group_name_Hall '-P 6c 2c'
loop_
_atom_site_label
_atom_site_fract_x
_atom_site_fract_y
_atom_site_fract_z
_atom_site_occupancy
Y1 0.0000 0.0000 0.0000 1
Y2 0.3333 0.6667 0.1582 1
Ni1 0.0000 0.0000 0.2500 1
B1 0.3333 0.6667 0.5824 1
```



6.
Compound: LaZrAsO
Source: OQMD
Functional: PBE
Structure: relaxed

Output
E above lowest polymorph	628	meV per atom
theoretical density	6.97	g cm⁻³

Structure (CIF):
```
data_LaZrAsO
_chemical_formula_sum 'La2 Zr2 As2 O2'
_cell_length_a 4.148
_cell_length_b 4.148
_cell_length_c 8.884
_cell_angle_alpha 90.00
_cell_angle_beta 90.00
_cell_angle_gamma 90.00
_space_group_name_H-M_alt 'P 4/n m m'
_space_group_IT_number 129
loop_
_space_group_symop_operation_xyz
'x,y,z'
'-x,-y,-z'
'-y+1/2,x,z'
'y+1/2,-x,-z'
'-x+1/2,-y+1/2,z'
'x+1/2,y+1/2,-z'
'y,-x+1/2,z'
'-y,x+1/2,-z'
'x+1/2,-y,-z'
'-x+1/2,y,z'
'-y,-x,-z'
'y,x,z'
'-x,y+1/2,-z'
'x,-y+1/2,z'
'y+1/2,x+1/2,-z'
'-y+1/2,-x+1/2,z'
loop_
_atom_site_label
_atom_site_fract_x
_atom_site_fract_y
_atom_site_fract_z
_atom_site_occupancy
La1 0.250 0.750 0.000 1
Zr1 0.250 0.250 0.403 1
As1 0.250 0.250 0.748 1
O1 0.250 0.750 0.500 1
```



7.
Compound: SrBeNi
Source: OQMD
Functional: PBE
Structure: relaxed

Output
E above lowest polymorph	76	meV per atom
theoretical density	4.10	g cm⁻³

Structure (CIF):
```
data_SrBeNi
_chemical_formula_sum 'Sr4 Be4 Ni4'
_cell_length_a 6.313
_cell_length_b 6.313
_cell_length_c 6.313
_cell_angle_alpha 90.00
_cell_angle_beta 90.00
_cell_angle_gamma 90.00
_space_group_name_H-M_alt 'F -4 3 m'
_space_group_IT_number 216
_space_group_name_Hall 'F -4 2 3'
loop_
_atom_site_label
_atom_site_fract_x
_atom_site_fract_y
_atom_site_fract_z
_atom_site_occupancy
Sr1 0.000 0.000 0.000 1
Be1 0.250 0.250 0.750 1
Ni1 0.000 0.000 0.500 1
```



8.
Compound: Tb2GePd
Source: OQMD
Functional: PBE
Structure: relaxed

Output
theoretical density	8.85	g cm⁻³
E_tot	-5.65	eV per atom

Structure (CIF):
```
data_Tb2GePd
_chemical_formula_sum 'Tb4 Ge2 Pd2'
_cell_length_a 4.320
_cell_length_b 3.939
_cell_length_c 10.963
_cell_angle_alpha 90.00
_cell_angle_beta 90.00
_cell_angle_gamma 90.00
_space_group_name_H-M_alt 'A m m 2'
_space_group_IT_number 38
loop_
_space_group_symop_operation_xyz
'x,y,z'
'-x,-y,z'
'-x,y,z'
'x,-y,z'
'x,y+1/2,z+1/2'
'-x,-y+1/2,z+1/2'
'-x,y+1/2,z+1/2'
'x,-y+1/2,z+1/2'
loop_
_atom_site_label
_atom_site_fract_x
_atom_site_fract_y
_atom_site_fract_z
_atom_site_occupancy
Tb1 0.000 0.000 0.000 1
Tb2 0.500 0.000 0.276 1
Ge1 0.000 0.000 0.722 1
Pd1 0.500 0.000 0.557 1
```



9.
Compound: SrPmO3
Source: OQMD
Functional: PBE
Structure: relaxed

Output
theoretical density	5.43	g cm⁻³
E_tot	-6.89	eV per atom

Structure (CIF):
```
data_SrPmO3
_chemical_formula_sum 'Sr6 Pm6 O18'
_cell_length_a 6.1209
_cell_length_b 6.1209
_cell_length_c 15.8548
_cell_angle_alpha 90.00
_cell_angle_beta 90.00
_cell_angle_gamma 120.00
_space_group_name_H-M_alt 'R -3'
_space_group_IT_number 148
_space_group_name_Hall '-R 3'
loop_
_atom_site_label
_atom_site_fract_x
_atom_site_fract_y
_atom_site_fract_z
_atom_site_occupancy
Sr1 0.0000 0.0000 0.1360 1
Pm1 0.0000 0.0000 0.3568 1
O1 0.0214 0.2933 0.2541 1
```



10.
Compound: CoBiOs2
Source: OQMD
Functional: PBE
Structure: relaxed

Output
theoretical density	16.51	g cm⁻³
E_tot	-7.45	eV per atom

Structure (CIF):
```
data_CoBiOs2
_chemical_formula_sum 'Co4 Bi4 Os8'
_cell_length_a 6.390
_cell_length_b 6.390
_cell_length_c 6.390
_cell_angle_alpha 90.00
_cell_angle_beta 90.00
_cell_angle_gamma 90.00
_space_group_name_H-M_alt 'F -4 3 m'
_space_group_IT_number 216
_space_group_name_Hall 'F -4 2 3'
loop_
_atom_site_label
_atom_site_fract_x
_atom_site_fract_y
_atom_site_fract_z
_atom_site_occupancy
Co1 0.000 0.000 0.000 1
Bi1 0.250 0.250 0.750 1
Os1 0.000 0.000 0.500 1
Os2 0.250 0.250 0.250 1
```



11.
Compound: PmErBe
Source: OQMD
Functional: PBE
Structure: relaxed

Output
theoretical density	6.79	g cm⁻³
E_tot	-3.40	eV per atom

Structure (CIF):
```
data_PmErBe
_chemical_formula_sum 'Pm4 Er4 Be4'
_cell_length_a 6.798
_cell_length_b 6.798
_cell_length_c 6.798
_cell_angle_alpha 90.00
_cell_angle_beta 90.00
_cell_angle_gamma 90.00
_space_group_name_H-M_alt 'F -4 3 m'
_space_group_IT_number 216
_space_group_name_Hall 'F -4 2 3'
loop_
_atom_site_label
_atom_site_fract_x
_atom_site_fract_y
_atom_site_fract_z
_atom_site_occupancy
Pm1 0.000 0.000 0.000 1
Er1 0.250 0.250 0.250 1
Be1 0.250 0.250 0.750 1
```



12.
Compound: Ho3Cu4Ge2Pb2
Source: OQMD
Functional: PBE
Structure: relaxed

Output
theoretical density	10.05	g cm⁻³
E_tot	-4.56	eV per atom

Structure (CIF):
```
data_Ho3Cu4Ge2Pb2
_chemical_formula_sum 'Ho6 Cu8 Ge4 Pb4'
_cell_length_a 4.370
_cell_length_b 6.734
_cell_length_c 14.691
_cell_angle_alpha 90.00
_cell_angle_beta 90.00
_cell_angle_gamma 90.00
_space_group_name_H-M_alt 'I m m m'
_space_group_IT_number 71
_space_group_name_Hall '-I 2 2'
loop_
_atom_site_label
_atom_site_fract_x
_atom_site_fract_y
_atom_site_fract_z
_atom_site_occupancy
Ho1 0.000 0.000 0.000 1
Ho2 0.000 0.500 0.123 1
Cu1 0.000 0.311 0.347 1
Ge1 0.000 0.190 0.500 1
Pb1 0.000 0.000 0.220 1
```



13.
Compound: LiNiAgAs
Source: OQMD
Functional: PBE
Structure: relaxed

Output
theoretical density	7.26	g cm⁻³
E_tot	-3.93	eV per atom

Structure (CIF):
```
data_LiNiAgAs
_chemical_formula_sum 'Li4 Ni4 Ag4 As4'
_cell_length_a 6.101
_cell_length_b 6.101
_cell_length_c 6.101
_cell_angle_alpha 90.00
_cell_angle_beta 90.00
_cell_angle_gamma 90.00
_space_group_name_H-M_alt 'F -4 3 m'
_space_group_IT_number 216
_space_group_name_Hall 'F -4 2 3'
loop_
_atom_site_label
_atom_site_fract_x
_atom_site_fract_y
_atom_site_fract_z
_atom_site_occupancy
Li1 0.000 0.000 0.000 1
Ni1 0.000 0.000 0.500 1
Ag1 0.250 0.250 0.750 1
As1 0.250 0.250 0.250 1
```



14.
Compound: NaNbTl2Cl6
Source: OQMD
Functional: PBE
Structure: relaxed

Output
theoretical density	4.47	g cm⁻³
E_tot	-3.94	eV per atom

Structure (CIF):
```
data_NaNbTl2Cl6
_chemical_formula_sum 'Na2 Nb2 Tl4 Cl12'
_cell_length_a 12.582
_cell_length_b 7.236
_cell_length_c 7.422
_cell_angle_alpha 90.00
_cell_angle_beta 125.84
_cell_angle_gamma 90.00
_space_group_name_H-M_alt 'C 1 2/m 1'
_space_group_IT_number 12
loop_
_space_group_symop_operation_xyz
'x,y,z'
'-x,-y,-z'
'-x,y,-z'
'x,-y,z'
'x+1/2,y+1/2,z'
'-x+1/2,-y+1/2,-z'
'-x+1/2,y+1/2,-z'
'x+1/2,-y+1/2,z'
loop_
_atom_site_label
_atom_site_fract_x
_atom_site_fract_y
_atom_site_fract_z
_atom_site_occupancy
Na1 0.000 0.000 0.000 1
Nb1 0.000 0.500 0.500 1
Tl1 0.249 0.500 0.259 1
Cl1 0.042 0.259 0.307 1
Cl2 0.237 0.500 0.813 1
```



15.
Compound: InTcGe2
Source: OQMD
Functional: PBE
Structure: relaxed

Output
theoretical density	8.21	g cm⁻³
E_tot	-5.04	eV per atom

Structure (CIF):
```
data_InTcGe2
_chemical_formula_sum 'In4 Tc4 Ge8'
_cell_length_a 6.618
_cell_length_b 6.618
_cell_length_c 6.618
_cell_angle_alpha 90.00
_cell_angle_beta 90.00
_cell_angle_gamma 90.00
_space_group_name_H-M_alt 'F -4 3 m'
_space_group_IT_number 216
_space_group_name_Hall 'F -4 2 3'
loop_
_atom_site_label
_atom_site_fract_x
_atom_site_fract_y
_atom_site_fract_z
_atom_site_occupancy
In1 0.000 0.000 0.000 1
Tc1 0.250 0.250 0.750 1
Ge1 0.000 0.000 0.500 1
Ge2 0.250 0.250 0.250 1
```



16.
Compound: Ho3Mg3AlAgIr
Source: OQMD
Functional: PBE
Structure: relaxed

Output
theoretical density	7.31	g cm⁻³
E_tot	-4.20	eV per atom

Structure (CIF):
```
data_Ho3Mg3AlAgIr
_chemical_formula_sum 'Ho3 Mg3 Al1 Ag1 Ir1'
_cell_length_a 7.8388
_cell_length_b 7.8388
_cell_length_c 3.8183
_cell_angle_alpha 90.00
_cell_angle_beta 90.00
_cell_angle_gamma 120.00
_space_group_name_H-M_alt 'P -6'
_space_group_IT_number 174
loop_
_space_group_symop_operation_xyz
'x,y,z'
'-x+y,-x,-z'
'-y,x-y,z'
'x,y,-z'
'-x+y,-x,z'
'-y,x-y,-z'
loop_
_atom_site_label
_atom_site_fract_x
_atom_site_fract_y
_atom_site_fract_z
_atom_site_occupancy
Ho1 0.0951 0.3665 0.0000 1
Mg1 0.4060 0.3281 0.5000 1
Al1 0.0000 0.0000 0.5000 1
Ag1 0.6667 0.3333 0.0000 1
Ir1 0.3333 0.6667 0.5000 1
```



17.
Compound: MgZrAu2
Source: OQMD
Functional: PBE
Structure: relaxed

Output
theoretical density	10.88	g cm⁻³
E_tot	-4.70	eV per atom

Structure (CIF):
```
data_MgZrAu2
_chemical_formula_sum 'Mg2 Zr2 Au4'
_cell_length_a 4.5792
_cell_length_b 4.5792
_cell_length_c 8.5608
_cell_angle_alpha 90.00
_cell_angle_beta 90.00
_cell_angle_gamma 120.00
_space_group_name_H-M_alt 'P 63/m m c'
_space_group_IT_number 194
_space_group_name_Hall '-P 6c 2c'
loop_
_atom_site_label
_atom_site_fract_x
_atom_site_fract_y
_atom_site_fract_z
_atom_site_occupancy
Mg1 0.0000 0.0000 0.0000 1
Zr1 0.3333 0.6667 0.2500 1
Au1 0.3333 0.6667 0.5860 1
```



18.
Compound: TbTlCdTe3
Source: OQMD
Functional: PBE
Structure: relaxed

Output
E above lowest polymorph	82	meV per atom
theoretical density	7.42	g cm⁻³

Structure (CIF):
```
data_TbTlCdTe3
_chemical_formula_sum 'Tb4 Tl4 Cd4 Te12'
_cell_length_a 8.727
_cell_length_b 4.710
_cell_length_c 18.702
_cell_angle_alpha 90.00
_cell_angle_beta 90.00
_cell_angle_gamma 90.00
_space_group_name_H-M_alt 'P n m a'
_space_group_IT_number 62
loop_
_space_group_symop_operation_xyz
'x,y,z'
'-x,-y,-z'
'-x+1/2,-y,z+1/2'
'x+1/2,y,-z+1/2'
'x+1/2,-y+1/2,-z+1/2'
'-x+1/2,y+1/2,z+1/2'
'-x,y+1/2,-z'
'x,-y+1/2,z'
loop_
_atom_site_label
_atom_site_fract_x
_atom_site_fract_y
_atom_site_fract_z
_atom_site_occupancy
Tb1 0.231 0.250 0.040 1
Tl1 0.063 0.250 0.805 1
Cd1 0.073 0.250 0.340 1
Te1 0.005 0.250 0.576 1
Te2 0.128 0.750 0.941 1
Te3 0.230 0.250 0.206 1
```



19.
Compound: Er2Fe2B4Ir3
Source: OQMD
Functional: PBE
Structure: relaxed

Output
theoretical density	12.24	g cm⁻³
E_tot	-7.80	eV per atom

Structure (CIF):
```
data_Er2Fe2B4Ir3
_chemical_formula_sum 'Er8 Fe8 B16 Ir12'
_cell_length_a 5.345
_cell_length_b 9.522
_cell_length_c 11.371
_cell_angle_alpha 90.00
_cell_angle_beta 90.00
_cell_angle_gamma 90.00
_space_group_name_H-M_alt 'F m m m'
_space_group_IT_number 69
_space_group_name_Hall '-F 2 2'
loop_
_atom_site_label
_atom_site_fract_x
_atom_site_fract_y
_atom_site_fract_z
_atom_site_occupancy
Er1 0.000 0.000 0.138 1
Fe1 0.250 0.250 0.000 1
B1 0.000 0.166 0.376 1
Ir1 0.000 0.000 0.500 1
Ir2 0.250 0.250 0.250 1
```